VASP calculation (PBE-GGA) on a relaxed CsTcSe2Br crystal.

Cell lengths 5.6837, 5.6837, 6.3262 Å; angles 90.00, 90.00, 90.00 degrees
With the nearest neighbours (Å) after each atom.
Element x y z (fractional)
1 Cs 0.0000 0.0000 0.0000  4 Se 2.84, 2 Br 3.16
2 Se 0.0000 0.5000 0.0000  2 Cs 2.84
3 Se 0.5000 0.0000 0.0000  2 Cs 2.84
4 Tc 0.5000 0.5000 0.5000  4 Br 4.02, 8 Se 4.25
5 Br 0.0000 0.0000 0.5000  2 Cs 3.16

ΔE_f (raw) in eV per formula unit: 7.00
Density of states at the Fermi level in states/eV per atom: 0.645
Space-group type: No. 123
Energy above the lowest structure with this stoichiometry in meV per atom: 1834.3